Material: Cu2Si2S
Method: DFT, meta-GGA SCAN
State: PBEsol geometry

a = 6.278 Å, b = 6.278 Å, c = 6.278 Å
α = 147.47°, β = 147.47°, γ = 46.68°
Sites, in units of the cell vectors:
Cu1 0.105 0.105 0.000
Cu2 0.895 0.895 0.000
Si1 0.250 0.750 0.500
Si2 0.750 0.250 0.500
S1 0.500 0.500 0.000

size of the total moment: 0.00 μB/f.u.
total energy: -11.64 eV per atom
E_form (uncorrected): 0.370 eV/atom
N(E_F): 2.648 states/eV/f.u.
space group: I4/mmm (139)